Entry 1:
The following is a PBE calculation of a relaxed structure of La4Pm5Y, from Alexandria.

Structure (extended XYZ):
```
20
Lattice="-0.330 0.059 5.996 -10.760 0.017 -0.592 -0.022 -10.776 0.105" Properties=species:S:1:pos:R:3 pbc="T T T"
La -0.223 -7.511 3.845
La -7.745 0.049 3.357
La -3.430 0.042 3.595
La -0.214 -3.190 3.803
La -5.507 -2.130 1.950
La -8.736 -5.353 1.804
La -2.291 -5.362 2.159
La -5.520 -8.585 2.013
Pm -9.114 -9.034 0.514
Pm -1.785 -9.045 0.917
Pm -5.380 0.008 -0.296
Pm -9.098 -1.695 0.442
Pm -1.770 -1.707 0.845
Pm -7.382 -3.608 4.720
Pm -3.951 -3.614 4.908
Pm -0.341 -5.329 6.049
Pm -3.958 -7.050 4.942
Pm -7.390 -7.045 4.753
Y -0.215 0.039 3.912
Y -5.506 -5.359 1.841
```

polymorph energy (0 for the lowest one)	0.03	eV/f.u.
space-group type	P4/nmm
magnetic moment	0.000	Bohr magnetons per cell


Entry 2:
The following is a PBE calculation of a relaxed structure of PmCuH8Pt2, from Alexandria.

Structure (extended XYZ):
```
12
Lattice="-0.358 3.695 2.912 -2.956 -0.169 3.674 3.089 -0.999 5.470" Properties=species:S:1:pos:R:3 pbc="T T T"
Pm -0.113 1.264 6.028
Cu 0.000 0.000 0.000
H 0.878 0.147 3.743
H -0.376 2.164 3.795
H -1.104 2.380 8.312
H -1.669 3.118 6.085
H 1.443 -0.591 5.970
H -2.243 0.556 5.119
H 2.017 1.971 6.936
H 0.150 0.363 8.260
Pt -0.301 0.759 2.823
Pt 0.075 1.769 9.233
```

VASP energy	-4.08	eV/atom
space-group type	R-3
magnetic moment	0.000	Bohr magnetons per cell


Entry 3:
The following is a PBE calculation of a relaxed structure of TiNbTe, from Alexandria.

Structure (extended XYZ):
```
12
Lattice="-1.768 4.038 -0.113 -9.700 -3.978 9.583 2.323 1.095 2.806" Properties=species:S:1:pos:R:3 pbc="T T T"
Nb 0.278 2.567 1.347
Nb -4.850 -1.989 4.791
Nb 0.000 0.000 0.000
Nb -4.572 0.578 6.138
Te -0.293 -0.049 2.840
Te -7.084 -2.834 9.549
Te -7.188 -0.566 6.172
Te -4.280 0.626 3.298
Ti -2.228 -0.842 4.751
Ti -5.149 -2.041 7.638
Ti -9.123 -1.360 8.083
Ti -2.345 1.420 1.387
```

polymorph energy (0 for the lowest one)	0.17	eV/f.u.
energy relative to the elements, uncorrected	-0.3079	eV per atom
space-group type	Immm
magnetic moment	0.000	Bohr magnetons per cell


Entry 4:
The following is a PBE calculation of a relaxed structure of Y7ErTm4, from Alexandria.

Structure (extended XYZ):
```
12
Lattice="2.919 5.965 0.655 -2.919 5.965 0.655 0.000 4.685 11.753" Properties=species:S:1:pos:R:3 pbc="T T T"
Y 0.000 2.881 1.172
Y 0.000 13.734 11.892
Y 0.000 12.689 4.969
Y 0.000 3.926 8.094
Y 0.000 9.907 6.701
Y 0.000 5.965 0.655
Y 0.000 6.707 6.363
Er 0.000 0.000 0.000
Tm 0.000 7.922 9.576
Tm 0.000 8.692 3.488
Tm 0.000 4.395 4.063
Tm 0.000 12.219 9.000
```

polymorph energy (0 for the lowest one)	0.75	eV/f.u.
space-group type	C2/m
magnetic moment	0.457	Bohr magnetons per cell


Entry 5:
The following is a PBE calculation of a relaxed structure of Sc2TaHg, from Alexandria.

Structure (extended XYZ):
```
8
Lattice="-2.796 3.126 -0.139 -2.945 -2.567 1.531 -0.345 2.954 10.040" Properties=species:S:1:pos:R:3 pbc="T T T"
Sc -2.183 2.351 2.615
Sc -2.295 -0.454 3.448
Sc -2.431 2.408 8.062
Sc -5.263 2.721 8.738
Hg 0.000 0.000 0.000
Hg -3.006 3.179 5.298
Ta -2.871 0.280 0.696
Ta -3.081 0.333 6.133
```

VASP energy	-5.69	eV/atom
space-group type	I-42d
magnetic moment	0.000	Bohr magnetons per cell


Entry 6:
The following is a PBE calculation of a relaxed structure of K2LiAl3Ag12, from Alexandria.

Structure (extended XYZ):
```
18
Lattice="-6.736 0.751 -4.621 -6.618 -3.089 3.736 -4.963 5.909 2.785" Properties=species:S:1:pos:R:3 pbc="T T T"
K -10.859 2.117 1.126
K -7.458 1.454 0.773
Li 0.000 0.000 0.000
Al -3.368 0.375 -2.311
Al -3.309 -1.544 1.868
Al -2.482 2.954 1.392
Ag -4.598 -0.740 -0.275
Ag -13.298 0.035 0.204
Ag -12.380 2.704 4.037
Ag -4.011 0.968 2.177
Ag -12.442 4.691 -0.288
Ag -4.050 2.239 -0.590
Ag -13.720 4.310 2.174
Ag -5.019 3.536 1.696
Ag -5.937 0.866 -2.138
Ag -14.307 2.602 -0.277
Ag -5.876 -1.121 2.188
Ag -14.268 1.331 2.489
```

VASP energy	-2.53	eV/atom
space-group type	R-3m
magnetic moment	0.000	Bohr magnetons per cell


Entry 7:
The following is a PBE calculation of a relaxed structure of TiSnPd4, from Alexandria.

Structure (extended XYZ):
```
6
Lattice="3.648 0.000 1.055 2.048 4.491 -0.246 0.157 -1.666 6.292" Properties=species:S:1:pos:R:3 pbc="T T T"
Ti 0.000 0.000 0.000
Sn 2.926 1.412 3.551
Pd 4.178 0.912 6.056
Pd 1.287 -0.526 2.383
Pd 1.674 1.912 1.045
Pd 4.565 3.350 4.718
```

polymorph energy (0 for the lowest one)	0.00	eV/f.u.
space-group type	C2/m
magnetic moment	0.000	Bohr magnetons per cell


Entry 8:
The following is a PBE calculation of a relaxed structure of BPIrI, from Alexandria.

Structure (extended XYZ):
```
4
Lattice="3.156 0.000 0.000 0.000 3.846 0.001 -0.124 -1.881 7.960" Properties=species:S:1:pos:R:3 pbc="T T T"
I 2.069 1.174 5.503
P 0.617 1.507 1.673
B 0.617 -0.163 0.694
Ir 2.195 2.488 0.153
```

polymorph energy (0 for the lowest one)	0.31	eV/f.u.
energy relative to the elements, uncorrected	0.2111	eV per atom
space-group type	P1
magnetic moment	0.000	Bohr magnetons per cell


Entry 9:
The following is a PBE calculation of a relaxed structure of NaNpNi2Se4, from Alexandria.

Structure (extended XYZ):
```
8
Lattice="-4.822 3.356 3.133 -5.432 0.917 -2.268 -4.241 -2.571 3.301" Properties=species:S:1:pos:R:3 pbc="T T T"
Na 0.000 0.000 0.000
Np -7.247 0.851 2.083
Ni -3.990 0.047 0.883
Ni -10.505 1.655 3.284
Se -9.964 1.303 0.951
Se -2.116 -1.281 1.647
Se -11.784 1.243 5.296
Se -5.125 2.138 0.439
```

energy relative to the elements, uncorrected	-0.5220	eV per atom
space-group type	I222
magnetic moment	2.733	Bohr magnetons per cell


Entry 10:
The following is a PBE calculation of a relaxed structure of CrCuHg2, from Alexandria.

Structure (extended XYZ):
```
4
Lattice="-1.160 -2.869 0.678 1.596 -1.224 -2.448 5.767 -1.290 4.404" Properties=species:S:1:pos:R:3 pbc="T T T"
Cr 3.089 -0.691 2.359
Cu 4.411 -2.984 2.317
Hg 5.516 -1.234 4.212
Hg 1.838 -2.409 0.353
```

polymorph energy (0 for the lowest one)	0.03	eV/f.u.
space-group type	P4mm
magnetic moment	3.949	Bohr magnetons per cell


Entry 11:
The following is a PBE calculation of a relaxed structure of BaLiCa2Mg, from Alexandria.

Structure (extended XYZ):
```
5
Lattice="-0.858 0.117 5.771 2.748 -5.122 0.513 4.837 2.662 0.665" Properties=species:S:1:pos:R:3 pbc="T T T"
Mg 2.418 1.331 0.332
Ca 1.374 -2.561 0.256
Ca -0.429 0.059 2.885
Ba 3.364 -1.171 3.474
Li 0.000 0.000 0.000
```

VASP energy	-1.78	eV/atom
space-group type	P4/mmm
magnetic moment	0.000	Bohr magnetons per cell


Entry 12:
The following is a PBE calculation of a relaxed structure of Zr5W, from Alexandria.

Structure (extended XYZ):
```
6
Lattice="-3.701 5.573 3.914 0.929 -4.896 -5.937 -2.598 -3.422 2.416" Properties=species:S:1:pos:R:3 pbc="T T T"
Zr -4.035 1.678 3.066
Zr -2.036 1.807 0.370
Zr -2.516 -1.755 -0.164
Zr -0.603 -1.433 -2.679
Zr -0.929 -5.343 -3.540
W -3.641 5.436 3.784
```

polymorph energy (0 for the lowest one)	0.36	eV/f.u.
space-group type	Amm2
magnetic moment	0.000	Bohr magnetons per cell